Entry 1:
{
  "formula": "Co2Ir",
  "functional": "PBE-GGA",
  "state": "relaxed",
  "lattice_angstrom": [[-2.862, 2.862, 2.495], [2.862, -2.862, 2.495], [2.862, 2.862, -2.495]],
  "species": ["Co", "Co", "Co", "Co", "Ir", "Ir"],
  "frac_coords": [[0.140, 0.640, 0.780], [0.360, 0.140, 0.500], [0.640, 0.860, 0.500], [0.860, 0.360, 0.220], [0.250, 0.250, 0.000], [0.750, 0.750, 0.000]],
  "de_polymorph_mev_per_atom": 364,
  "delta_e_f_ev_per_fu": 1.1
}

---

Entry 2:
{
  "formula": "Zr2AlCl",
  "functional": "PBE-GGA",
  "state": "relaxed",
  "lattice_angstrom": [[1.572, 0.908, 9.189], [-1.572, 0.908, 9.189], [0.000, -1.815, 9.189]],
  "species": ["Zr", "Zr", "Al", "Cl"],
  "frac_coords": [[0.245, 0.245, 0.245], [0.755, 0.755, 0.755], [0.000, 0.000, 0.000], [0.500, 0.500, 0.500]],
  "de_polymorph_mev_per_atom": 99,
  "formation_energy_uncorrected_mev_per_atom": -479.8
}

---

Entry 3:
{
  "formula": "LaFe4P12",
  "functional": "PBE-GGA",
  "state": "relaxed",
  "lattice_angstrom": [[-3.910, 3.910, 3.910], [3.910, -3.910, 3.910], [3.910, 3.910, -3.910]],
  "species": ["La", "Fe", "Fe", "Fe", "Fe", "P", "P", "P", "P", "P", "P", "P", "P", "P", "P", "P", "P"],
  "frac_coords": [[0.000, 0.000, 0.000], [0.000, 0.000, 0.500], [0.000, 0.500, 0.000], [0.500, 0.000, 0.000], [0.500, 0.500, 0.500], [0.152, 0.354, 0.506], [0.152, 0.646, 0.799], [0.201, 0.848, 0.354], [0.354, 0.201, 0.848], [0.354, 0.506, 0.152], [0.494, 0.848, 0.646], [0.506, 0.152, 0.354], [0.646, 0.494, 0.848], [0.646, 0.799, 0.152], [0.799, 0.152, 0.646], [0.848, 0.354, 0.201], [0.848, 0.646, 0.494]],
  "delta_e_f_ev_per_fu": -10.5
}

---

Entry 4:
{
  "formula": "In3SnAu",
  "functional": "PBE-GGA",
  "state": "relaxed",
  "lattice_angstrom": [[5.353, 0.000, 0.000], [0.000, 5.353, 0.000], [0.000, 0.000, 5.353]],
  "species": ["In", "In", "In", "Sn", "Au"],
  "frac_coords": [[0.000, 0.000, 0.500], [0.000, 0.500, 0.000], [0.500, 0.000, 0.000], [0.500, 0.500, 0.500], [0.000, 0.000, 0.000]],
  "de_polymorph_mev_per_atom": 219,
  "delta_e_f_ev_per_fu": 0.8
}

---

Entry 5:
{
  "formula": "TmB3Rh6",
  "functional": "PBE-GGA",
  "state": "relaxed",
  "lattice_angstrom": [[2.717, 1.569, 5.185], [-2.717, 1.569, 5.185], [0.000, -3.137, 5.185]],
  "species": ["Tm", "B", "B", "B", "Rh", "Rh", "Rh", "Rh", "Rh", "Rh"],
  "frac_coords": [[0.000, 0.000, 0.000], [0.294, 0.294, 0.294], [0.627, 0.627, 0.627], [0.828, 0.828, 0.828], [0.057, 0.565, 0.548], [0.284, 0.466, 0.873], [0.466, 0.873, 0.284], [0.548, 0.057, 0.565], [0.565, 0.548, 0.057], [0.873, 0.284, 0.466]],
  "delta_e_f_ev_per_fu": -4.5
}

---

Entry 6:
{
  "formula": "Na4Tm",
  "functional": "PBE-GGA",
  "state": "relaxed",
  "lattice_angstrom": [[6.558, 0.000, 0.000], [0.000, 6.558, 0.000], [0.000, 0.000, 6.558]],
  "species": ["Na", "Na", "Na", "Na", "Tm"],
  "frac_coords": [[0.000, 0.000, 0.000], [0.000, 0.500, 0.500], [0.500, 0.000, 0.500], [0.500, 0.500, 0.000], [0.500, 0.500, 0.500]],
  "delta_e_f_ev_per_fu": 4.0
}